A geometry-optimized CoReSiIr structure, computed with PBE.

The value obtained for the total moment is 0.057 μB per atom. The value obtained for the total energy is -8.401 eV per atom. The energy above the most stable polymorph in this dataset comes out at 0.000 eV/atom.

Cell lengths 4.215, 4.215, 4.215 Å; angles 60.00, 60.00, 60.00 degrees
Last column: magnetic moment on the atom in μB.
Element x y z (fractional)
Co1 0.750 0.750 0.750  0.29
Ir1 0.500 0.500 0.500  -0.03
Re1 0.250 0.250 0.250  -0.01
Si1 0.000 0.000 0.000  0.00